1.
The following is a GGA-PBE calculation of a relaxed CaHg4Br crystal, from Alexandria.

The formation energy (no corrections) comes out at -0.329 eV per atom. Its total energy is -1.143 eV per atom. As for the size of the total moment: 0.0 Bohr magnetons per cell.

The structure belongs to space group F-43m (No. 216); the cell edges are 8.811, 8.811 and 8.811 Å and the angles 90.00°, 90.00° and 90.00°. The distinct sites, in fractional coordinates, are Ca at (0.000, 0.000, 0.000), Hg at (0.125, 0.125, 0.625) and Br at (0.250, 0.250, 0.250).

***

2.
The following is a GGA-PBE calculation of a relaxed CeGe2Bi crystal, from Alexandria.

Its energy of formation from the pure elements is -1.71 eV/f.u. Its total energy is -5.190 eV per atom. As for the size of the total moment: 0.0 Bohr magnetons per cell.

The structure belongs to space group P4/mmm (No. 123); the cell edges are 4.677, 4.677 and 4.314 Å and the angles 90.00°, 90.00° and 90.00°. The distinct sites, in fractional coordinates, are Ce at (0.000, 0.000, 0.000), Ge at (0.000, 0.500, 0.500) and Bi at (0.500, 0.500, 0.000).

***

3.
The following is a GGA-PBE calculation of a relaxed CaMg12Cd6 crystal, from Alexandria.

Its energy of formation from the pure elements is -0.76 eV/f.u. Its total energy is -1.442 eV per atom. As for the size of the total moment: 0.0 Bohr magnetons per cell. For the energy above the lowest structure with this stoichiometry, the calculation gives 0.000 eV/atom.

The structure belongs to space group R-3 (No. 148, hexagonal axes); the cell edges are 10.5890, 10.5890 and 13.7259 Å and the angles 90.00°, 90.00° and 120.00°. The distinct sites, in fractional coordinates, are Ca at (0.0000, 0.0000, 0.0000), Mg at (0.0372, 0.1853, 0.8036), Mg at (0.0625, 0.8394, 0.4172) and Cd at (0.0137, 0.4297, 0.7080).

***

4.
The following is a GGA-PBE calculation of a relaxed La2BiRh2 crystal, from Alexandria.

Its energy of formation from the pure elements is -3.92 eV/f.u. Its total energy is -6.472 eV per atom. As for the size of the total moment: 0.0 Bohr magnetons per cell. For the energy above the lowest structure with this stoichiometry, the calculation gives 0.000 eV/atom.

The structure belongs to space group P4/mbm (No. 127); the cell edges are 7.833, 7.833 and 3.949 Å and the angles 90.00°, 90.00° and 90.00°. The distinct sites, in fractional coordinates, are La at (0.173, 0.327, 0.000), Bi at (0.000, 0.000, 0.500) and Rh at (0.131, 0.631, 0.500).

***

5.
The following is a GGA-PBE calculation of a relaxed Sn2As2Cl crystal, from Alexandria.

The formation energy (no corrections) comes out at -0.190 eV per atom. Its total energy is -4.020 eV per atom. As for the size of the total moment: 0.0 Bohr magnetons per cell. For the energy above the lowest structure with this stoichiometry, the calculation gives 0.000 eV/atom.

The structure belongs to space group I4/mmm (No. 139); the cell edges are 4.173, 4.173 and 15.123 Å and the angles 90.00°, 90.00° and 90.00°. The distinct sites, in fractional coordinates, are Sn at (0.000, 0.000, 0.113), As at (0.000, 0.500, 0.250) and Cl at (0.000, 0.000, 0.500).

***

6.
The following is a GGA-PBE calculation of a relaxed Tm5Tl2Pb2 crystal, from Alexandria.

Its energy of formation from the pure elements is -3.51 eV/f.u. Its total energy is -4.224 eV per atom. As for the size of the total moment: 0.0 Bohr magnetons per cell. For the energy above the lowest structure with this stoichiometry, the calculation gives 0.000 eV/atom.

The structure belongs to space group Cmce (No. 64); the cell edges are 15.640, 8.126 and 8.026 Å and the angles 90.00°, 90.00° and 90.00°. The distinct sites, in fractional coordinates, are Tm at (0.000, 0.000, 0.000), Tm at (0.137, 0.172, 0.330), Tl at (0.000, 0.132, 0.632) and Pb at (0.209, 0.000, 0.000).

***

7.
The following is a GGA-PBE calculation of a relaxed Re2TeAs crystal, from Alexandria.

The formation energy (no corrections) comes out at 0.640 eV per atom. Its total energy is -7.532 eV per atom. As for the size of the total moment: 0.0 Bohr magnetons per cell. For the energy above the lowest structure with this stoichiometry, the calculation gives 0.395 eV/atom.

The structure belongs to space group Cmm2 (No. 35); the cell edges are 2.940, 5.151 and 10.320 Å and the angles 90.00°, 90.00° and 90.00°. The distinct sites, in fractional coordinates, are Re at (0.000, 0.000, 0.000), Re at (0.000, 0.500, 0.205), Te at (0.000, 0.000, 0.446) and As at (0.000, 0.500, 0.788).

***

8.
The following is a GGA-PBE calculation of a relaxed Rb2Tl3In4Ge crystal, from Alexandria.

Its energy of formation from the pure elements is -0.50 eV/f.u. Its total energy is -2.511 eV per atom. As for the size of the total moment: 0.0 Bohr magnetons per cell.

The structure belongs to space group P-4m2 (No. 115); the cell edges are 5.054, 5.054 and 12.917 Å and the angles 90.00°, 90.00° and 90.00°. The distinct sites, in fractional coordinates, are Rb at (0.000, 0.500, 0.242), Tl at (0.000, 0.000, 0.000), Tl at (0.000, 0.500, 0.641), In at (0.000, 0.000, 0.500), In at (0.000, 0.500, 0.874), In at (0.500, 0.500, 0.500) and Ge at (0.500, 0.500, 0.000).

***

9.
The following is a GGA-PBE calculation of a relaxed YCuAu2 crystal, from Alexandria.

Its energy of formation from the pure elements is -1.99 eV/f.u. Its total energy is -4.775 eV per atom. As for the size of the total moment: 0.0 Bohr magnetons per cell. For the energy above the lowest structure with this stoichiometry, the calculation gives 0.099 eV/atom.

The structure belongs to space group P4/mmm (No. 123); the cell edges are 3.463, 3.463 and 6.427 Å and the angles 90.00°, 90.00° and 90.00°. The distinct sites, in fractional coordinates, are Y at (0.000, 0.000, 0.000), Cu at (0.000, 0.000, 0.500) and Au at (0.500, 0.500, 0.281).

***

10.
The following is a GGA-PBE calculation of a relaxed PuUTc2 crystal, from Alexandria.

Its energy of formation from the pure elements is 0.23 eV/f.u. Its total energy is -11.530 eV per atom. As for the size of the total moment: 21.1 Bohr magnetons per cell. For the energy above the lowest structure with this stoichiometry, the calculation gives 0.038 eV/atom.

The structure belongs to space group Fm-3m (No. 225); the cell edges are 6.737, 6.737 and 6.737 Å and the angles 90.00°, 90.00° and 90.00°. The distinct sites, in fractional coordinates, are Pu at (0.000, 0.000, 0.000), U at (0.000, 0.000, 0.500) and Tc at (0.250, 0.250, 0.250).

***

11.
The following is a GGA-PBE calculation of a relaxed Pm3Pr12Pu crystal, from Alexandria.

Its energy of formation from the pure elements is 0.70 eV/f.u. Its total energy is -5.327 eV per atom. As for the size of the total moment: 6.5 Bohr magnetons per cell.

The structure belongs to space group P4/mmm (No. 123); the cell edges are 5.215, 5.215 and 20.812 Å and the angles 90.00°, 90.00° and 90.00°. The distinct sites, in fractional coordinates, are Pm at (0.000, 0.000, 0.000), Pm at (0.000, 0.000, 0.252), Pr at (0.000, 0.500, 0.126), Pr at (0.000, 0.500, 0.379), Pr at (0.500, 0.500, 0.000), Pr at (0.500, 0.500, 0.252), Pr at (0.500, 0.500, 0.500) and Pu at (0.000, 0.000, 0.500).

***

12.
The following is a GGA-PBE calculation of a relaxed CaVOs3 crystal, from Alexandria.

Its energy of formation from the pure elements is 5.33 eV/f.u. Its total energy is -7.896 eV per atom. As for the size of the total moment: 0.0 Bohr magnetons per cell. For the energy above the lowest structure with this stoichiometry, the calculation gives 0.000 eV/atom.

The structure belongs to space group Pm-3m (No. 221); the cell edges are 4.570, 4.570 and 4.570 Å and the angles 90.00°, 90.00° and 90.00°. The distinct sites, in fractional coordinates, are Ca at (0.000, 0.000, 0.000), V at (0.500, 0.500, 0.500) and Os at (0.000, 0.500, 0.500).

***

13.
The following is a GGA-PBE calculation of a relaxed NaSmHoCd crystal, from Alexandria.

Its energy of formation from the pure elements is 0.15 eV/f.u. Its total energy is -2.846 eV per atom. As for the size of the total moment: 2.4 Bohr magnetons per cell.

The structure belongs to space group F-43m (No. 216); the cell edges are 7.683, 7.683 and 7.683 Å and the angles 90.00°, 90.00° and 90.00°. The distinct sites, in fractional coordinates, are Na at (0.000, 0.000, 0.000), Sm at (0.250, 0.250, 0.750), Ho at (0.250, 0.250, 0.250) and Cd at (0.000, 0.000, 0.500).

***

14.
The following is a GGA-PBE calculation of a relaxed NaRe3Ni crystal, from Alexandria.

Its energy of formation from the pure elements is 9.62 eV/f.u. Its total energy is -6.966 eV per atom. As for the size of the total moment: 0.0 Bohr magnetons per cell. For the energy above the lowest structure with this stoichiometry, the calculation gives 0.000 eV/atom.

The structure belongs to space group Pm-3m (No. 221); the cell edges are 4.508, 4.508 and 4.508 Å and the angles 90.00°, 90.00° and 90.00°. The distinct sites, in fractional coordinates, are Na at (0.000, 0.000, 0.000), Re at (0.000, 0.500, 0.500) and Ni at (0.500, 0.500, 0.500).

***

15.
The following is a GGA-PBE calculation of a relaxed CsGe2O crystal, from Alexandria.

The formation energy (no corrections) comes out at -0.131 eV per atom. Its total energy is -3.893 eV per atom. As for the size of the total moment: 0.0 Bohr magnetons per cell.

The structure belongs to space group I4_1/amd (No. 141, origin choice 2); the cell edges are 5.289, 5.289 and 15.485 Å and the angles 90.00°, 90.00° and 90.00°. The distinct sites, in fractional coordinates, are Cs at (0.000, 0.250, 0.375), Ge at (0.000, 0.000, 0.000) and O at (0.000, 0.250, 0.875).

***

16.
The following is a GGA-PBE calculation of a relaxed Hg5Pb crystal, from Alexandria.

Its energy of formation from the pure elements is 0.19 eV/f.u. Its total energy is -0.838 eV per atom. As for the size of the total moment: 0.0 Bohr magnetons per cell. For the energy above the lowest structure with this stoichiometry, the calculation gives 0.010 eV/atom.

The structure belongs to space group P4/mmm (No. 123); the cell edges are 3.801, 3.801 and 11.557 Å and the angles 90.00°, 90.00° and 90.00°. The distinct sites, in fractional coordinates, are Hg at (0.000, 0.000, 0.000), Hg at (0.000, 0.000, 0.331), Hg at (0.500, 0.500, 0.168) and Pb at (0.500, 0.500, 0.500).

***

17.
The following is a GGA-PBE calculation of a relaxed La2Pm3Er7 crystal, from Alexandria.

Its energy of formation from the pure elements is 1.12 eV/f.u. Its total energy is -4.578 eV per atom. As for the size of the total moment: 0.0 Bohr magnetons per cell. For the energy above the lowest structure with this stoichiometry, the calculation gives 0.000 eV/atom.

The structure belongs to space group P2/m (No. 10); the cell edges are 6.372, 3.536 and 17.588 Å and the angles 90.00°, 96.34° and 90.00°. The distinct sites, in fractional coordinates, are La at (0.053, 0.000, 0.174), Pm at (0.457, 0.500, 0.842), Pm at (0.500, 0.000, 0.500), Er at (0.000, 0.500, 0.500), Er at (0.227, 0.000, 0.664), Er at (0.255, 0.000, 0.001) and Er at (0.275, 0.500, 0.338).

***

18.
The following is a GGA-PBE calculation of a relaxed KSr2Re crystal, from Alexandria.

Its energy of formation from the pure elements is 4.98 eV/f.u. Its total energy is -2.982 eV per atom. As for the size of the total moment: 4.5 Bohr magnetons per cell. For the energy above the lowest structure with this stoichiometry, the calculation gives 0.426 eV/atom.

The structure belongs to space group R3m (No. 160, hexagonal axes); the cell edges are 3.6411, 3.6411 and 38.0061 Å and the angles 90.00°, 90.00° and 120.00°. The distinct sites, in fractional coordinates, are K at (0.0000, 0.0000, 0.0000), Sr at (0.0000, 0.0000, 0.2279), Sr at (0.0000, 0.0000, 0.4638) and Re at (0.0000, 0.0000, 0.7370).

***

19.
The following is a GGA-PBE calculation of a relaxed K2LaTl crystal, from Alexandria.

Its energy of formation from the pure elements is 1.01 eV/f.u. Its total energy is -2.121 eV per atom. As for the size of the total moment: 0.0 Bohr magnetons per cell. For the energy above the lowest structure with this stoichiometry, the calculation gives 0.266 eV/atom.

The structure belongs to space group Pmmm (No. 47); the cell edges are 3.602, 6.466 and 7.207 Å and the angles 90.00°, 90.00° and 90.00°. The distinct sites, in fractional coordinates, are K at (0.000, 0.000, 0.235), La at (0.500, 0.500, 0.500) and Tl at (0.500, 0.500, 0.000).

***

20.
The following is a GGA-PBE calculation of a relaxed K7HgO2 crystal, from Alexandria.

The formation energy (no corrections) comes out at -0.594 eV per atom. Its total energy is -2.385 eV per atom. As for the size of the total moment: 1.1 Bohr magnetons per cell.

The structure belongs to space group Cmmm (No. 65); the cell edges are 8.766, 14.587 and 5.420 Å and the angles 90.00°, 90.00° and 90.00°. The distinct sites, in fractional coordinates, are K at (0.000, 0.000, 0.000), K at (0.000, 0.191, 0.500), K at (0.190, 0.351, 0.000), Hg at (0.000, 0.500, 0.500) and O at (0.000, 0.196, 0.000).

***

21.
The following is a GGA-PBE calculation of a relaxed Mo3Au crystal, from Alexandria.

Its energy of formation from the pure elements is 1.07 eV/f.u. Its total energy is -8.676 eV per atom. As for the size of the total moment: 0.0 Bohr magnetons per cell.

The structure belongs to space group Cmmm (No. 65); the cell edges are 5.641, 8.148 and 2.818 Å and the angles 90.00°, 90.00° and 90.00°. The distinct sites, in fractional coordinates, are Mo at (0.000, 0.000, 0.000), Mo at (0.250, 0.250, 0.500) and Au at (0.000, 0.500, 0.000).

***

22.
The following is a GGA-PBE calculation of a relaxed Tb2CeFe crystal, from Alexandria.

Its energy of formation from the pure elements is 2.34 eV/f.u. Its total energy is -5.330 eV per atom. As for the size of the total moment: 6.2 Bohr magnetons per cell. For the energy above the lowest structure with this stoichiometry, the calculation gives 0.700 eV/atom.

The structure belongs to space group R-3m (No. 166, hexagonal axes); the cell edges are 3.2945, 3.2945 and 33.1070 Å and the angles 90.00°, 90.00° and 120.00°. The distinct sites, in fractional coordinates, are Tb at (0.0000, 0.0000, 0.0796), Ce at (0.0000, 0.0000, 0.5000) and Fe at (0.0000, 0.0000, 0.0000).

***

23.
The following is a GGA-PBE calculation of a relaxed Ga2HRh4 crystal, from Alexandria.

Its total energy is -5.858 eV per atom. As for the size of the total moment: 0.0 Bohr magnetons per cell.

The structure belongs to space group I4/mmm (No. 139); the cell edges are 3.792, 3.792 and 12.827 Å and the angles 90.00°, 90.00° and 90.00°. The distinct sites, in fractional coordinates, are Ga at (0.000, 0.000, 0.141), H at (0.000, 0.000, 0.500), Rh at (0.000, 0.000, 0.332) and Rh at (0.000, 0.500, 0.000).

***

24.
The following is a GGA-PBE calculation of a relaxed Tb5Dy6Er2 crystal, from Alexandria.

Its energy of formation from the pure elements is 1.27 eV/f.u. Its total energy is -4.510 eV per atom. As for the size of the total moment: 0.0 Bohr magnetons per cell.

The structure belongs to space group Pbam (No. 55); the cell edges are 11.551, 20.184 and 3.555 Å and the angles 90.00°, 90.00° and 90.00°. The distinct sites, in fractional coordinates, are Tb at (0.000, 0.000, 0.000), Tb at (0.088, 0.273, 0.000), Tb at (0.198, 0.551, 0.000), Dy at (0.060, 0.419, 0.500), Dy at (0.082, 0.131, 0.500), Dy at (0.173, 0.863, 0.000) and Er at (0.169, 0.710, 0.500).